First-principles (GGA-PBE) data for a relaxed NaCePb4 crystal, as listed in Alexandria via LeMat-Bulk.

Output
The energy of formation comes out at -0.1089 eV per atom. The calculation puts the total moment at 1.0 μB/f.u. The calculated volume is 195.00 Å³/cell. The value obtained for the density of states at the Fermi level is 7.49 states/eV per cell. The value obtained for the final energy is -22.740 eV/cell. Its space group is F-43m. Its density is 8.45 g/cm3. For the energy above the most stable polymorph in this dataset, the calculation gives 0.0000 eV/atom.

a b c (Å): 6.5090 6.5090 6.5090
angles (deg): 60.00 60.00 60.00
Closest atoms and distances in Å follow each position.
Fractional positions:
Pb: 0.6257 0.6257 0.1229  6 Pb 3.24-3.27
Pb: 0.6257 0.1229 0.6257  6 Pb 3.24-3.27
Pb: 0.6257 0.6257 0.6257  6 Pb 3.24-3.27
Pb: 0.1229 0.6257 0.6257  6 Pb 3.24-3.27
Na: 0.2500 0.2500 0.2500  12 Pb 3.82, 4 Ce 3.99
Ce: 0.0000 0.0000 0.0000  12 Pb 3.81, 4 Na 3.99